1.
VASP calculation (PBE) on a relaxed structure of AcLuGaPt.

The structure in POSCAR format:
```
AcLuGaPt
1.0
5.206 0.000 0.000
2.603 4.508 0.000
2.603 1.503 4.250
Pt Lu Ac Ga
1 1 1 1
direct
0.750 0.750 0.750
0.000 0.000 0.000
0.500 0.500 0.500
0.250 0.250 0.250
```

Calculated formation energy: -67.4 kJ per mole of atoms



2.
VASP calculation (PBE) on a relaxed structure of AcLuGaRu.

The structure in POSCAR format:
```
AcLuGaRu
1.0
5.121 0.000 0.000
2.560 4.435 0.000
2.560 1.478 4.181
Ga Ru Lu Ac
1 1 1 1
direct
0.250 0.250 0.250
0.750 0.750 0.750
0.500 0.500 0.500
0.000 0.000 0.000
```

Calculated formation energy: -22.9 kJ per mole of atoms



3.
VASP calculation (PBE) on a relaxed structure of AcLuGaSn.

The structure in POSCAR format:
```
AcLuGaSn
1.0
5.426 0.000 0.000
2.713 4.699 0.000
2.713 1.566 4.430
Ac Ga Lu Sn
1 1 1 1
direct
0.500 0.500 0.500
0.750 0.750 0.750
0.000 0.000 0.000
0.250 0.250 0.250
```

Calculated formation energy: -44.1 kJ per mole of atoms



4.
VASP calculation (PBE) on a relaxed structure of AcTbLuGa.

The structure in POSCAR format:
```
AcTbLuGa
1.0
-4.019 1.005 3.543
-4.792 -2.547 -0.519
-1.467 -3.811 3.612
Ga Lu Tb Ac
1 1 1 1
direct
0.250 0.250 0.250
0.500 0.500 0.500
0.000 0.000 0.000
0.750 0.750 0.750
```

Calculated formation energy: 7.8 kJ per mole of atoms



5.
VASP calculation (PBE) on a relaxed structure of AcTmLuGa.

The structure in POSCAR format:
```
AcTmLuGa
1.0
5.432 0.000 0.000
2.716 4.704 0.000
2.716 1.568 4.435
Ac Lu Tm Ga
1 1 1 1
direct
0.750 0.750 0.750
0.000 0.000 0.000
0.500 0.500 0.500
0.250 0.250 0.250
```

Calculated formation energy: 9.9 kJ per mole of atoms



6.
VASP calculation (PBE) on a relaxed structure of AcLuZnGa.

The structure in POSCAR format:
```
AcLuZnGa
1.0
-3.959 1.231 3.272
-0.593 -2.636 4.538
1.020 2.393 4.597
Lu Zn Ga Ac
1 1 1 1
direct
0.000 0.000 0.000
0.750 0.750 0.750
0.250 0.250 0.250
0.500 0.500 0.500
```

Calculated formation energy: -33.9 kJ per mole of atoms



7.
VASP calculation (PBE) on a relaxed structure of AcMgGa.

The structure in POSCAR format:
```
AcMgGa
1.0
5.095 0.000 0.000
2.547 4.412 0.000
2.547 1.471 4.160
Ac Mg Ga
1 1 1
direct
0.000 0.000 0.000
0.500 0.500 0.500
0.250 0.250 0.250
```

Calculated formation energy: -29.5 kJ per mole of atoms
Polymorph energy (0 for the lowest one): 113 meV per atom



8.
VASP calculation (PBE) on a relaxed structure of Ac2Mg5Ga4.

The structure in POSCAR format:
```
Ac2Mg5Ga4
1.0
6.420 0.000 0.000
3.210 5.559 0.000
3.210 0.000 7.751
Mg Ac Ga
5 2 4
direct
0.500 0.500 0.000
0.500 0.000 0.000
0.250 0.500 0.500
0.750 0.500 0.500
0.000 0.500 0.000
0.858 0.000 0.285
0.142 0.000 0.715
0.472 0.762 0.295
0.528 0.238 0.705
0.234 0.238 0.295
0.766 0.762 0.705
```

Calculated formation energy: -25.3 kJ per mole of atoms



9.
VASP calculation (PBE) on a relaxed structure of AcMg12Ga6.

The structure in POSCAR format:
```
AcMg12Ga6
1.0
7.910 -0.033 -0.047
-1.993 7.655 -0.047
-1.993 -2.567 7.212
Mg Ga Ac
12 6 1
direct
0.829 0.570 0.570
0.570 0.829 0.570
0.884 0.500 0.116
0.116 0.500 0.884
0.430 0.171 0.430
0.500 0.884 0.116
0.430 0.430 0.171
0.171 0.430 0.430
0.116 0.884 0.500
0.884 0.116 0.500
0.500 0.116 0.884
0.570 0.570 0.829
0.750 0.750 0.274
0.750 0.274 0.750
0.726 0.250 0.250
0.274 0.750 0.750
0.250 0.250 0.726
0.250 0.726 0.250
0.000 0.000 0.000
```

Calculated formation energy: -8.1 kJ per mole of atoms



10.
VASP calculation (PBE) on a relaxed structure of AcMgGa.

The structure in POSCAR format:
```
AcMgGa
1.0
4.630 0.000 0.000
0.000 4.630 0.000
0.000 0.000 7.799
Ga Ac Mg
2 2 2
direct
0.000 0.000 0.226
0.500 0.500 0.774
0.000 0.000 0.659
0.500 0.500 0.341
0.500 0.000 0.000
0.000 0.500 0.000
```

Calculated formation energy: -38.5 kJ per mole of atoms
Polymorph energy (0 for the lowest one): 20 meV per atom



11.
VASP calculation (PBE) on a relaxed structure of Ac6Mg23Ga.

The structure in POSCAR format:
```
Ac6Mg23Ga
1.0
-5.304 -9.043 1.244
1.186 -7.821 -6.992
5.143 -8.802 2.747
Mg Ga Ac
23 1 6
direct
0.877 0.877 0.877
0.500 0.000 0.500
0.123 0.123 0.630
0.000 0.500 0.000
0.000 0.000 0.000
0.370 0.877 0.877
0.674 0.674 0.979
0.877 0.370 0.877
0.000 0.500 0.500
0.123 0.630 0.123
0.979 0.674 0.674
0.674 0.674 0.674
0.326 0.326 0.326
0.021 0.326 0.326
0.877 0.877 0.370
0.500 0.000 0.000
0.000 0.000 0.500
0.500 0.500 0.000
0.630 0.123 0.123
0.123 0.123 0.123
0.326 0.021 0.326
0.326 0.326 0.021
0.674 0.979 0.674
0.500 0.500 0.500
0.711 0.711 0.289
0.289 0.711 0.711
0.711 0.289 0.711
0.289 0.289 0.711
0.289 0.711 0.289
0.711 0.289 0.289
```

Calculated formation energy: -12.0 kJ per mole of atoms



12.
VASP calculation (PBE) on a relaxed structure of Ac2MgGa3.

The structure in POSCAR format:
```
Ac2MgGa3
1.0
-2.915 -5.000 2.891
5.638 -1.665 2.703
-3.003 7.895 3.439
Ga Ac Mg
6 4 2
direct
0.837 0.326 0.162
0.163 0.674 0.838
0.326 0.837 0.162
0.674 0.163 0.838
0.838 0.838 0.676
0.162 0.162 0.324
0.754 0.754 0.000
0.750 0.250 0.500
0.246 0.246 0.000
0.250 0.750 0.500
0.333 0.333 0.667
0.667 0.667 0.333
```

Calculated formation energy: -45.0 kJ per mole of atoms



Table of D(E_F) (states/eV per cell), in record order: 5.1, 2.8, 2.6, 7.8, 6.9, 3.2, 1.0, 7.7, 8.8, 3.3, 20.9, 8.7
Table of magnetization (μB/cell), in record order: 0.00, 0.00, 0.00, 0.19, 1.03, 0.00, 0.00, 0.00, 0.00, 0.28, 0.00, 0.00